Entry 1:
# LiErGeAu

A relaxed structure of LiErGeAu (PBE, Alexandria).

```
data_LiErGeAu
_chemical_formula_sum 'Li4 Er4 Ge4 Au4'
_space_group_name_H-M_alt 'F -4 3 m'
_space_group_IT_number 216
_space_group_name_Hall 'F -4 2 3'
_cell_length_a 6.782
_cell_length_b 6.782
_cell_length_c 6.782
_cell_angle_alpha 90.00
_cell_angle_beta 90.00
_cell_angle_gamma 90.00
loop_
_atom_site_label
_atom_site_type_symbol
_atom_site_fract_x
_atom_site_fract_y
_atom_site_fract_z
_atom_site_occupancy
Li1 Li 0.000 0.000 0.000 1
Er1 Er 0.000 0.000 0.500 1
Ge1 Ge 0.250 0.250 0.750 1
Au1 Au 0.250 0.250 0.250 1
```



Entry 2:
# Li2ErGe2Au2

A relaxed structure of Li2ErGe2Au2 (PBE, Alexandria).

```
data_Li2ErGe2Au2
_chemical_formula_sum 'Li6 Er3 Ge6 Au6'
_space_group_name_H-M_alt 'R -3 m'
_space_group_IT_number 166
_space_group_name_Hall '-R 3 2"'
_cell_length_a 4.4443
_cell_length_b 4.4443
_cell_length_c 22.3501
_cell_angle_alpha 90.00
_cell_angle_beta 90.00
_cell_angle_gamma 120.00
loop_
_atom_site_label
_atom_site_type_symbol
_atom_site_fract_x
_atom_site_fract_y
_atom_site_fract_z
_atom_site_occupancy
Li1 Li 0.0000 0.0000 0.1406 1
Er1 Er 0.0000 0.0000 0.0000 1
Ge1 Ge 0.0000 0.0000 0.4276 1
Au1 Au 0.0000 0.0000 0.2595 1
```



Number 1: electronic total energy -67.78 eV for the cell shown, energy of formation from the pure elements -2.6 eV/f.u.. Number 2: electronic total energy -84.45 eV for the cell shown, energy of formation from the pure elements -4.0 eV/f.u..